[1]
Below is crystalline La2Dy4Ho5 at its relaxed geometry, with properties calculated at the PBE-GGA level.

Its distance to the lowest polymorph of the same formula is 0 meV/atom. Its spin magnetization is 0.00 μB/cell. The energy of formation from the pure elements comes out at 0.1512 eV per atom. As for the total energy: -4.499 eV per atom.

The space group is C2/m (No. 12) and the conventional cell measures 23.942, 3.440 and 8.778 Å, with angles of 90.00, 96.82 and 90.00 degrees. The distinct sites, in fractional coordinates, are La at (0.092, 0.000, 0.247), Dy at (0.047, 0.000, 0.861), Dy at (0.179, 0.500, 0.973), Ho at (0.000, 0.500, 0.500), Ho at (0.141, 0.000, 0.625) and Ho at (0.234, 0.000, 0.327).


[2]
Below is crystalline MgVHg3 at its relaxed geometry, with properties calculated at the PBE-GGA level.

Its distance to the lowest polymorph of the same formula is 0 meV/atom. Its spin magnetization is 3.81 μB/cell. The energy of formation from the pure elements comes out at 0.5464 eV per atom. As for the total energy: -1.777 eV per atom.

The space group is Pm-3m (No. 221) and the conventional cell measures 5.331, 5.331 and 5.331 Å, with angles of 90.00, 90.00 and 90.00 degrees. The distinct sites, in fractional coordinates, are Mg at (0.000, 0.000, 0.000), V at (0.500, 0.500, 0.500) and Hg at (0.000, 0.500, 0.500).